Model P:
Material: NaGaCoSb
Method: DFT, PBE
State: relaxed

```
data_NaGaCoSb
_chemical_formula_sum 'Na4 Ga4 Co4 Sb4'
_cell_length_a 6.4928
_cell_length_b 6.4928
_cell_length_c 6.4928
_cell_angle_alpha 90.00
_cell_angle_beta 90.00
_cell_angle_gamma 90.00
_space_group_name_H-M_alt 'F -4 3 m'
_space_group_IT_number 216
_space_group_name_Hall 'F -4 2 3'
loop_
_atom_site_label
_atom_site_type_symbol
_atom_site_fract_x
_atom_site_fract_y
_atom_site_fract_z
Na1 Na 0.0000 0.0000 0.0000
Ga1 Ga 0.2500 0.2500 0.7500
Co1 Co 0.0000 0.0000 0.5000
Sb1 Sb 0.2500 0.2500 0.2500
```

---

Model Q:
Material: NaGaCoSb
Method: DFT, PBE
State: relaxed

```
data_NaGaCoSb
_chemical_formula_sum 'Na4 Ga4 Co4 Sb4'
_cell_length_a 6.7216
_cell_length_b 6.7216
_cell_length_c 6.7216
_cell_angle_alpha 90.00
_cell_angle_beta 90.00
_cell_angle_gamma 90.00
_space_group_name_H-M_alt 'F -4 3 m'
_space_group_IT_number 216
_space_group_name_Hall 'F -4 2 3'
loop_
_atom_site_label
_atom_site_type_symbol
_atom_site_fract_x
_atom_site_fract_y
_atom_site_fract_z
Na1 Na 0.0000 0.0000 0.0000
Ga1 Ga 0.2500 0.2500 0.7500
Co1 Co 0.2500 0.2500 0.2500
Sb1 Sb 0.0000 0.0000 0.5000
```

---

Q: Which of them is the most stable? A: model P.